This record from Alexandria via LeMat-Bulk describes an optimized crystal structure of K2LaBr2. The functional is PBE.

## Properties
VASP energy	-2.7531	eV/atom
formation energy from raw total energies	-15.21	kcal/mol of atoms
polymorph energy (0 for the lowest one)	24.6	kJ/mol of atoms

Lattice parameters (Å, degrees): 4.545 4.545 15.929 90.00 90.00 90.00
Fractional positions:
1 K 0.000 0.500 0.250
2 K 0.000 0.500 0.750
3 K 0.500 0.000 0.250
4 K 0.500 0.000 0.750
5 La 0.000 0.000 0.000
6 La 0.500 0.500 0.500
7 Br 0.000 0.000 0.399
8 Br 0.000 0.000 0.601
9 Br 0.500 0.500 0.101
10 Br 0.500 0.500 0.899